Record 1
A relaxed structure of AlPtCl2, computed with PBE-GGA.

Summary:
Its crystal system is tetragonal. For the total energy, the calculation gives -15.03 eV/cell. The density of states at the Fermi level comes out at 0.55 states/eV per atom. The polymorph energy (0 for the lowest one) is 0.333 eV per atom. For the formation energy (no corrections), the calculation gives -149 kJ/mol of formula units. The density comes out at 6.0 Mg/m³.

Unit cell a=3.095 b=3.095 c=8.519 alpha=90.00 beta=90.00 gamma=90.00
Space group P4mm (No. 99)
Inequivalent atoms, fractional coordinates:
Al 0.000 0.000 0.000 (multiplicity 1)
Pt 0.500 0.500 0.835 (multiplicity 1)
Cl 0.000 0.000 0.627 (multiplicity 1)
Cl 0.500 0.500 0.202 (multiplicity 1)

***

Record 2
A relaxed structure of AlPtCl2, computed with PBE-GGA.

Summary:
Its crystal system is trigonal. For the total energy, the calculation gives -39.54 eV/cell. The density of states at the Fermi level comes out at 0.55 states/eV per atom. The polymorph energy (0 for the lowest one) is 0.794 eV per atom. For the formation energy (no corrections), the calculation gives 29 kJ/mol of formula units. The density comes out at 6.7 Mg/m³.

Unit cell a=3.1497 b=3.1497 c=25.2524 alpha=90.00 beta=90.00 gamma=120.00
Space group R-3m (No. 166, hexagonal axes)
Inequivalent atoms, fractional coordinates:
Al 0.0000 0.0000 0.0000 (multiplicity 3)
Pt 0.0000 0.0000 0.5000 (multiplicity 3)
Cl 0.0000 0.0000 0.2714 (multiplicity 6)

***

Record 3
A relaxed structure of AlPt2Cl, computed with PBE-GGA.

Summary:
Its crystal system is orthorhombic. For the total energy, the calculation gives -34.55 eV/cell. The density of states at the Fermi level comes out at 0.79 states/eV per atom. The polymorph energy (0 for the lowest one) is 0.616 eV per atom. For the formation energy (no corrections), the calculation gives 38 kJ/mol of formula units. The density comes out at 11.7 Mg/m³.

Unit cell a=5.693 b=7.814 c=2.898 alpha=90.00 beta=90.00 gamma=90.00
Space group Cmmm (No. 65)
Inequivalent atoms, fractional coordinates:
Al 0.000 0.000 0.000 (multiplicity 2)
Pt 0.250 0.250 0.500 (multiplicity 4)
Cl 0.000 0.500 0.000 (multiplicity 2)

***

Record 4
A relaxed structure of AlPtS2Cl, computed with PBE-GGA.

Summary:
Its crystal system is tetragonal. For the total energy, the calculation gives -18.51 eV/cell. The density of states at the Fermi level comes out at 0.67 states/eV per atom. The polymorph energy (0 for the lowest one) is 0.008 eV per atom. For the formation energy (no corrections), the calculation gives 133 kJ/mol of formula units. The density comes out at 5.6 Mg/m³.

Unit cell a=4.694 b=4.694 c=4.341 alpha=90.00 beta=90.00 gamma=90.00
Space group P4/mmm (No. 123)
Inequivalent atoms, fractional coordinates:
Al 0.000 0.000 0.000 (multiplicity 1)
Pt 0.500 0.500 0.500 (multiplicity 1)
S 0.000 0.500 0.000 (multiplicity 2)
Cl 0.000 0.000 0.500 (multiplicity 1)

***

Record 5
A relaxed structure of AlPtS2Cl, computed with PBE-GGA.

Summary:
Its crystal system is tetragonal. For the total energy, the calculation gives -18.55 eV/cell. The density of states at the Fermi level comes out at 1.28 states/eV per atom. The polymorph energy (0 for the lowest one) is 0.000 eV per atom. For the formation energy (no corrections), the calculation gives 129 kJ/mol of formula units. The density comes out at 4.9 Mg/m³.

Unit cell a=4.731 b=4.731 c=4.902 alpha=90.00 beta=90.00 gamma=90.00
Space group P4/mmm (No. 123)
Inequivalent atoms, fractional coordinates:
Al 0.000 0.000 0.000 (multiplicity 1)
Pt 0.500 0.500 0.500 (multiplicity 1)
S 0.000 0.500 0.500 (multiplicity 2)
Cl 0.500 0.500 0.000 (multiplicity 1)

***

Record 6
A relaxed structure of AlTe2PtCl, computed with PBE-GGA.

Summary:
Its crystal system is tetragonal. For the total energy, the calculation gives -13.58 eV/cell. The density of states at the Fermi level comes out at 0.57 states/eV per atom. For the formation energy (no corrections), the calculation gives 418 kJ/mol of formula units. The density comes out at 6.1 Mg/m³.

Unit cell a=5.571 b=5.571 c=4.524 alpha=90.00 beta=90.00 gamma=90.00
Space group P4/mmm (No. 123)
Inequivalent atoms, fractional coordinates:
Al 0.000 0.000 0.000 (multiplicity 1)
Te 0.000 0.500 0.500 (multiplicity 2)
Pt 0.500 0.500 0.000 (multiplicity 1)
Cl 0.500 0.500 0.500 (multiplicity 1)

***

Record 7
A relaxed structure of PuAlCl6, computed with PBE-GGA.

Summary:
Its crystal system is monoclinic. For the total energy, the calculation gives -84.48 eV/cell. The density of states at the Fermi level comes out at 1.03 states/eV per atom. For the formation energy (no corrections), the calculation gives -1262 kJ/mol of formula units. The density comes out at 3.4 Mg/m³.

Unit cell a=6.394 b=12.284 c=6.331 alpha=90.00 beta=105.97 gamma=90.00
Space group C2/m (No. 12)
Inequivalent atoms, fractional coordinates:
Pu 0.000 0.000 0.000 (multiplicity 2)
Al 0.000 0.500 0.500 (multiplicity 2)
Cl 0.211 0.365 0.719 (multiplicity 8)
Cl 0.238 0.500 0.271 (multiplicity 4)

***

Record 8
A relaxed structure of RbPuAl2Cl8, computed with PBE-GGA.

Summary:
Its crystal system is trigonal. For the total energy, the calculation gives -165.21 eV/cell. The density of states at the Fermi level comes out at 1.73 states/eV per atom. For the formation energy (no corrections), the calculation gives -1690 kJ/mol of formula units. The density comes out at 2.9 Mg/m³.

Unit cell a=6.7360 b=6.7360 c=29.1718 alpha=90.00 beta=90.00 gamma=120.00
Space group R-3 (No. 148, hexagonal axes)
Inequivalent atoms, fractional coordinates:
Rb 0.0000 0.0000 0.0000 (multiplicity 3)
Pu 0.0000 0.0000 0.5000 (multiplicity 3)
Al 0.0000 0.0000 0.2505 (multiplicity 6)
Cl 0.0000 0.0000 0.3252 (multiplicity 6)
Cl 0.0120 0.3197 0.7741 (multiplicity 18)

***

Record 9
A relaxed structure of RbAlCl2, computed with PBE-GGA.

Summary:
Its crystal system is tetragonal. For the total energy, the calculation gives -49.97 eV/cell. The density of states at the Fermi level comes out at 0.00 states/eV per atom. The polymorph energy (0 for the lowest one) is 0.000 eV per atom. For the formation energy (no corrections), the calculation gives -395 kJ/mol of formula units. The density comes out at 1.8 Mg/m³.

Unit cell a=6.729 b=6.729 c=15.338 alpha=90.00 beta=90.00 gamma=90.00
Space group I-42d (No. 122)
Inequivalent atoms, fractional coordinates:
Rb 0.000 0.000 0.000 (multiplicity 4)
Al 0.000 0.000 0.500 (multiplicity 4)
Cl 0.203 0.250 0.625 (multiplicity 8)

***

Record 10
A relaxed structure of RbAlCl2, computed with PBE-GGA.

Summary:
Its crystal system is trigonal. For the total energy, the calculation gives -37.35 eV/cell. The density of states at the Fermi level comes out at 0.00 states/eV per atom. The polymorph energy (0 for the lowest one) is 0.011 eV per atom. For the formation energy (no corrections), the calculation gives -391 kJ/mol of formula units. The density comes out at 1.7 Mg/m³.

Unit cell a=4.8922 b=4.8922 c=25.9208 alpha=90.00 beta=90.00 gamma=120.00
Space group R-3m (No. 166, hexagonal axes)
Inequivalent atoms, fractional coordinates:
Rb 0.0000 0.0000 0.0000 (multiplicity 3)
Al 0.0000 0.0000 0.5000 (multiplicity 3)
Cl 0.0000 0.0000 0.4021 (multiplicity 6)

***

Record 11
A relaxed structure of RbAl2Cl8, computed with PBE-GGA.

Summary:
Its crystal system is monoclinic. For the total energy, the calculation gives -78.06 eV/cell. The density of states at the Fermi level comes out at 0.73 states/eV per atom. For the formation energy (no corrections), the calculation gives -1525 kJ/mol of formula units. The density comes out at 1.8 Mg/m³.

Unit cell a=14.402 b=7.706 c=7.693 alpha=90.00 beta=111.01 gamma=90.00
Space group C2/m (No. 12)
Inequivalent atoms, fractional coordinates:
Rb 0.000 0.000 0.000 (multiplicity 2)
Al 0.180 0.000 0.663 (multiplicity 4)
Cl 0.098 0.225 0.701 (multiplicity 8)
Cl 0.177 0.500 0.115 (multiplicity 4)
Cl 0.194 0.000 0.397 (multiplicity 4)

***

Record 12
A relaxed structure of RbAlCl2, computed with PBE-GGA.

Summary:
Its crystal system is cubic. For the total energy, the calculation gives -49.73 eV/cell. The density of states at the Fermi level comes out at 0.00 states/eV per atom. The polymorph energy (0 for the lowest one) is 0.015 eV per atom. For the formation energy (no corrections), the calculation gives -389 kJ/mol of formula units. The density comes out at 2.7 Mg/m³.

Unit cell a=7.703 b=7.703 c=7.703 alpha=90.00 beta=90.00 gamma=90.00
Space group Fm-3m (No. 225)
Inequivalent atoms, fractional coordinates:
Rb 0.000 0.000 0.000 (multiplicity 4)
Al 0.000 0.000 0.500 (multiplicity 4)
Cl 0.250 0.250 0.250 (multiplicity 8)

***

Record 13
A relaxed structure of Rb4AlCl7, computed with PBE-GGA.

Summary:
Its crystal system is monoclinic. For the total energy, the calculation gives -84.36 eV/cell. The density of states at the Fermi level comes out at 0.00 states/eV per atom. For the formation energy (no corrections), the calculation gives -2088 kJ/mol of formula units. The density comes out at 2.3 Mg/m³.

Unit cell a=14.540 b=6.706 c=9.904 alpha=90.00 beta=113.01 gamma=90.00
Space group C2 (No. 5)
Inequivalent atoms, fractional coordinates:
Rb 0.098 0.000 0.287 (multiplicity 4)
Rb 0.148 0.509 0.986 (multiplicity 4)
Al 0.000 0.510 0.500 (multiplicity 2)
Cl 0.000 0.185 0.500 (multiplicity 2)
Cl 0.065 0.507 0.303 (multiplicity 4)
Cl 0.127 0.010 0.983 (multiplicity 4)
Cl 0.134 0.670 0.641 (multiplicity 4)

***

Record 14
A relaxed structure of RbAl4Cl2, computed with PBE-GGA.

Summary:
Its crystal system is tetragonal. For the total energy, the calculation gives -30.41 eV/cell. The density of states at the Fermi level comes out at 0.81 states/eV per atom. For the formation energy (no corrections), the calculation gives 427 kJ/mol of formula units. The density comes out at 1.0 Mg/m³.

Unit cell a=6.767 b=6.767 c=18.969 alpha=90.00 beta=90.00 gamma=90.00
Space group I4/mmm (No. 139)
Inequivalent atoms, fractional coordinates:
Rb 0.000 0.000 0.000 (multiplicity 2)
Al 0.000 0.000 0.187 (multiplicity 4)
Al 0.000 0.500 0.000 (multiplicity 4)
Cl 0.000 0.000 0.302 (multiplicity 4)

***

Record 15
A relaxed structure of RbAlCl2, computed with PBE-GGA.

Summary:
Its crystal system is trigonal. For the total energy, the calculation gives -34.55 eV/cell. The density of states at the Fermi level comes out at 0.00 states/eV per atom. The polymorph energy (0 for the lowest one) is 0.244 eV per atom. For the formation energy (no corrections), the calculation gives -300 kJ/mol of formula units. The density comes out at 1.7 Mg/m³.

Unit cell a=4.7655 b=4.7655 c=26.7311 alpha=90.00 beta=90.00 gamma=120.00
Space group R-3m (No. 166, hexagonal axes)
Inequivalent atoms, fractional coordinates:
Rb 0.0000 0.0000 0.0000 (multiplicity 3)
Al 0.0000 0.0000 0.5000 (multiplicity 3)
Cl 0.0000 0.0000 0.1109 (multiplicity 6)

***

Record 16
A relaxed structure of RbAl2Cl8, computed with PBE-GGA.

Summary:
Its crystal system is monoclinic. For the total energy, the calculation gives -78.09 eV/cell. The density of states at the Fermi level comes out at 0.86 states/eV per atom. For the formation energy (no corrections), the calculation gives -1526 kJ/mol of formula units. The density comes out at 1.9 Mg/m³.

Unit cell a=13.088 b=7.281 c=8.499 alpha=90.00 beta=110.48 gamma=90.00
Space group C2/m (No. 12)
Inequivalent atoms, fractional coordinates:
Rb 0.000 0.000 0.000 (multiplicity 2)
Al 0.221 0.000 0.706 (multiplicity 4)
Cl 0.105 0.500 0.212 (multiplicity 4)
Cl 0.145 0.000 0.438 (multiplicity 4)
Cl 0.164 0.240 0.803 (multiplicity 8)

***

Record 17
A relaxed structure of Rb3Al5Cl12, computed with PBE-GGA.

Summary:
Its crystal system is cubic. For the total energy, the calculation gives -552.47 eV/cell. The density of states at the Fermi level comes out at 0.08 states/eV per atom. For the formation energy (no corrections), the calculation gives -2439 kJ/mol of formula units. The density comes out at 1.9 Mg/m³.

Unit cell a=17.976 b=17.976 c=17.976 alpha=90.00 beta=90.00 gamma=90.00
Space group Ia-3d (No. 230)
Inequivalent atoms, fractional coordinates:
Rb 0.000 0.250 0.125 (multiplicity 24)
Al 0.000 0.000 0.000 (multiplicity 16)
Al 0.000 0.250 0.375 (multiplicity 24)
Cl 0.052 0.056 0.672 (multiplicity 96)

***

Record 18
A relaxed structure of Rb2Al2Cl, computed with PBE-GGA.

Summary:
Its crystal system is tetragonal. For the total energy, the calculation gives -28.04 eV/cell. The density of states at the Fermi level comes out at 0.25 states/eV per atom. For the formation energy (no corrections), the calculation gives -266 kJ/mol of formula units. The density comes out at 2.7 Mg/m³.

Unit cell a=3.928 b=3.928 c=21.029 alpha=90.00 beta=90.00 gamma=90.00
Space group I4/mmm (No. 139)
Inequivalent atoms, fractional coordinates:
Rb 0.000 0.000 0.093 (multiplicity 4)
Al 0.000 0.500 0.250 (multiplicity 4)
Cl 0.000 0.000 0.500 (multiplicity 2)

***

Record 19
A relaxed structure of Rb2Al2Cl7, computed with PBE-GGA.

Summary:
Its crystal system is monoclinic. For the total energy, the calculation gives -78.71 eV/cell. The density of states at the Fermi level comes out at 0.22 states/eV per atom. For the formation energy (no corrections), the calculation gives -1641 kJ/mol of formula units. The density comes out at 1.9 Mg/m³.

Unit cell a=10.605 b=12.418 c=6.518 alpha=90.00 beta=101.18 gamma=90.00
Space group C2/m (No. 12)
Inequivalent atoms, fractional coordinates:
Rb 0.000 0.211 0.000 (multiplicity 4)
Al 0.218 0.500 0.425 (multiplicity 4)
Cl 0.000 0.500 0.500 (multiplicity 2)
Cl 0.132 0.000 0.288 (multiplicity 4)
Cl 0.249 0.144 0.757 (multiplicity 8)

***

Record 20
A relaxed structure of Rb2AlReCl6, computed with PBE-GGA.

Summary:
Its crystal system is cubic. For the total energy, the calculation gives -156.89 eV/cell. The density of states at the Fermi level comes out at 0.63 states/eV per atom. For the formation energy (no corrections), the calculation gives -967 kJ/mol of formula units. The density comes out at 3.5 Mg/m³.

Unit cell a=10.461 b=10.461 c=10.461 alpha=90.00 beta=90.00 gamma=90.00
Space group Fm-3m (No. 225)
Inequivalent atoms, fractional coordinates:
Rb 0.250 0.250 0.250 (multiplicity 8)
Al 0.000 0.000 0.000 (multiplicity 4)
Re 0.000 0.000 0.500 (multiplicity 4)
Cl 0.000 0.000 0.268 (multiplicity 24)